HfTl2 (PBE, relaxed); DFT total energy = -4.66 eV/atom
1.0
-3.6867 3.6867 2.8741
3.6867 -3.6867 2.8741
3.6867 3.6867 -2.8741
Hf Tl
2 4
Direct
0.2500 0.2500 0.0000
0.7500 0.7500 0.0000
0.1748 0.6748 0.8496
0.3252 0.1748 0.5000
0.6748 0.8252 0.5000
0.8252 0.3252 0.1504